The following is a DFT calculation (PBE) of a geometry-optimized YMg2Re structure.

## Properties
- space-group type = I4/mmm
- energy above the most stable polymorph in this dataset (meV per atom) = 0
- final energy (eV for the cell shown) = -21.1
- spin magnetization (μB per formula unit) = 0.00
- calculated volume (Å³ per cell) = 80.4

Unit cell a=5.3502 b=5.3502 c=5.3502 alpha=133.01 beta=133.01 gamma=68.65
Atoms (fractional coordinates):
Re 0.2500 0.7500 0.5000
Mg 0.5000 0.5000 0.0000
Y 0.7500 0.2500 0.5000
Mg 0.0000 0.0000 0.0000